YMg2Ga after structural relaxation, computed with PBE.

abc: 3.212 3.212 11.150
angles: 81.72 81.72 60.00
Fractional positions:
Y (0.000, 0.000, 0.000)
Mg (0.098, 0.098, 0.707)
Mg (0.902, 0.902, 0.293)
Ga (0.500, 0.500, 0.500)

Formation energy from the elements (eV/atom): 0.13

ErTiAgAu after structural relaxation, computed with PBE.

abc: 4.868 4.868 4.868
angles: 60.00 60.00 60.00
Fractional positions:
Ti (0.750, 0.750, 0.750)
Au (0.500, 0.500, 0.500)
Ag (0.000, 0.000, 0.000)
Er (0.250, 0.250, 0.250)

Formation energy from the elements (eV/atom): -0.29

Nd7Ho2Er2 after structural relaxation, computed with PBE.

abc: 8.742 6.636 6.636
angles: 92.02 82.68 82.68
Fractional positions:
Nd (0.206, 0.085, 0.456)
Nd (0.794, 0.544, 0.915)
Nd (0.794, 0.915, 0.544)
Nd (0.206, 0.456, 0.085)
Nd (0.000, 0.000, 0.000)
Nd (0.415, 0.844, 0.844)
Nd (0.585, 0.156, 0.156)
Ho (0.856, 0.392, 0.392)
Ho (0.144, 0.608, 0.608)
Er (0.500, 0.325, 0.675)
Er (0.500, 0.675, 0.325)

Offset from the most stable computed form (eV/atom): 0.000
Formation energy from the elements (eV/atom): 0.10

MgTiCrHg2 after structural relaxation, computed with PBE.

abc: 5.178 4.204 5.178
angles: 90.00 90.00 90.00
Fractional positions:
Cr (0.000, 0.000, 0.000)
Mg (0.500, 0.500, 0.500)
Hg (0.000, 0.000, 0.500)
Hg (0.500, 0.000, 0.000)
Ti (0.000, 0.500, 0.000)

Formation energy from the elements (eV/atom): 0.53

HoPRh3 after structural relaxation, computed with PBE.

abc: 6.279 6.133 6.348
angles: 118.88 119.64 90.00
Fractional positions:
Ho (0.250, 0.277, 0.500)
Ho (0.750, 0.723, 0.500)
P (0.000, 0.500, 0.000)
P (0.500, 0.000, 0.000)
Rh (0.710, 0.210, 0.919)
Rh (0.210, 0.210, 0.919)
Rh (0.790, 0.790, 0.081)
Rh (0.290, 0.790, 0.081)
Rh (0.250, 0.778, 0.500)
Rh (0.750, 0.222, 0.500)

Offset from the most stable computed form (eV/atom): 0.169
Formation energy from the elements (eV/atom): -0.74

Lu2PuTl after structural relaxation, computed with PBE.

abc: 3.444 3.444 10.972
angles: 80.97 80.97 60.00
Fractional positions:
Tl (0.000, 0.000, 0.000)
Lu (0.252, 0.252, 0.243)
Lu (0.748, 0.748, 0.757)
Pu (0.500, 0.500, 0.500)

Offset from the most stable computed form (eV/atom): 0.045
Formation energy from the elements (eV/atom): -0.03

Si2PRh2 after structural relaxation, computed with PBE.

abc: 7.155 7.155 2.740
angles: 90.00 90.00 90.00
Fractional positions:
P (0.000, 0.000, 0.000)
P (0.500, 0.500, 0.000)
Si (0.148, 0.648, 0.500)
Si (0.648, 0.852, 0.500)
Si (0.852, 0.352, 0.500)
Si (0.352, 0.148, 0.500)
Rh (0.353, 0.853, 0.000)
Rh (0.853, 0.647, 0.000)
Rh (0.647, 0.147, 0.000)
Rh (0.147, 0.353, 0.000)

ΔE_f (raw) (eV per formula unit): -1.8
Offset from the most stable computed form (eV/atom): 0.000

LaPmNd2Mg after structural relaxation, computed with PBE.

abc: 6.980 7.823 6.169
angles: 90.00 90.00 90.00
Fractional positions:
La (0.590, 0.000, 0.250)
La (0.410, 0.000, 0.750)
Pm (0.167, 0.500, 0.750)
Pm (0.833, 0.500, 0.250)
Nd (0.707, 0.713, 0.750)
Nd (0.707, 0.287, 0.750)
Nd (0.293, 0.713, 0.250)
Nd (0.293, 0.287, 0.250)
Mg (0.000, 0.000, 0.000)
Mg (0.000, 0.000, 0.500)

Formation energy from the elements (eV/atom): 0.14

YReC after structural relaxation, computed with PBE.

abc: 4.960 5.044 8.817
angles: 90.00 90.00 90.00
Fractional positions:
C (0.750, 0.270, 0.096)
C (0.750, 0.230, 0.596)
C (0.250, 0.730, 0.904)
C (0.250, 0.770, 0.404)
Re (0.500, 0.000, 0.000)
Re (0.500, 0.500, 0.500)
Re (0.000, 0.500, 0.500)
Re (0.000, 0.000, 0.000)
Y (0.750, 0.512, 0.837)
Y (0.250, 0.012, 0.663)
Y (0.750, 0.988, 0.337)
Y (0.250, 0.488, 0.163)

Formation energy from the elements (eV/atom): 0.15

For reference, E_tot by record: -12.155, -19.741, -50.585, -17.043, -71.463, -25.856, -65.580, -40.251, -110.725 eV for the cell shown.